! Na2AlCrS4 PBE optimized geometry; values from VASP
&SYSTEM
  ibrav = 0, nat = 8, ntyp = 4
/
ATOMIC_SPECIES
Na 22.99 Na.upf
Al 26.98 Al.upf
Cr 52.00 Cr.upf
S 32.06 S.upf
CELL_PARAMETERS angstrom
6.196 0.000 0.000
0.000 3.579 0.000
-2.055 0.000 6.546
ATOMIC_POSITIONS angstrom
Na 0.000 0.000 0.000
Na 3.098 1.790 0.000
Al -1.028 1.790 3.273
Cr 2.071 0.000 3.273
S 0.008 0.000 4.588
S 1.034 1.790 1.981
S 3.108 1.790 4.565
S 4.133 0.000 1.958
! Crystal system = monoclinic
! E = -5.12 eV per atom